(P)
Crystalline TlHg2Se2 at its relaxed geometry, computed with PBE.

Summary:
Space group = P4/mbm

```
TlHg2Se2
1.0
8.5011 0.0000 0.0000
0.0000 8.5011 0.0000
0.0000 0.0000 3.8455
Tl Hg Se
2 4 4
Cartesian
0.0000 0.0000 0.0000
4.2505 4.2505 0.0000
0.9700 3.2806 0.0000
3.2806 7.5311 0.0000
5.2205 0.9700 0.0000
7.5311 5.2205 0.0000
1.9098 6.1603 1.9227
2.3407 1.9098 1.9227
6.1603 6.5913 1.9227
6.5913 2.3407 1.9227
```


(Q)
Crystalline TlHg2Se2 at its relaxed geometry, computed with PBE.

Summary:
Space group = P-1

```
TlHg2Se2
1.0
6.4906 0.0000 0.0000
3.0083 6.7991 0.0000
1.0323 2.8697 6.8811
Tl Hg Se
2 4 4
Cartesian
2.1970 1.7745 2.5252
8.3343 7.8943 4.3559
3.2565 4.8927 4.0959
3.7770 5.0834 0.1951
6.7543 4.5854 6.6860
7.2748 4.7761 2.7852
2.7959 3.7006 6.6273
5.5637 6.2503 4.8794
4.9676 3.4185 2.0018
7.7354 5.9682 0.2538
```


Of them, (P) has the lowest stability.


(P)
Crystalline TlHg2Se2 at its relaxed geometry, computed with PBE.

Summary:
Space group = I4/mmm

```
TlHg2Se2
1.0
4.4829 0.0000 0.0000
0.0000 4.4829 0.0000
0.0000 0.0000 14.0481
Tl Hg Se
2 4 4
Cartesian
0.0000 0.0000 0.0000
2.2414 2.2414 7.0241
0.0000 2.2414 3.5120
0.0000 2.2414 10.5361
2.2414 0.0000 3.5120
2.2414 0.0000 10.5361
0.0000 0.0000 5.7931
0.0000 0.0000 8.2551
2.2414 2.2414 1.2310
2.2414 2.2414 12.8172
```


(Q)
Crystalline TlHg2Se2 at its relaxed geometry, computed with PBE.

Summary:
Space group = C2/m

```
TlHg2Se2
1.0
7.2826 0.0000 0.0000
0.0000 4.2066 0.0000
-2.4449 0.0000 8.6152
Tl Hg Se
2 4 4
Cartesian
0.0000 0.0000 0.0000
3.6413 2.1033 0.0000
-0.0137 0.0000 5.2281
1.2101 2.1033 3.3871
3.6276 2.1033 5.2281
4.8514 0.0000 3.3871
-1.2246 2.1033 6.7810
2.4211 0.0000 1.8342
2.4167 0.0000 6.7810
6.0624 2.1033 1.8342
```


(R)
Crystalline TlHg2Se2 at its relaxed geometry, computed with PBE.

Summary:
Space group = P4/mbm

```
TlHg2Se2
1.0
8.2541 0.0000 0.0000
0.0000 8.2541 0.0000
0.0000 0.0000 3.8554
Tl Hg Se
2 4 4
Cartesian
0.0000 0.0000 0.0000
4.1271 4.1271 0.0000
1.1665 2.9606 1.9277
2.9606 7.0876 1.9277
5.2936 1.1665 1.9277
7.0876 5.2936 1.9277
1.3510 5.4781 0.0000
2.7760 1.3510 0.0000
5.4781 6.9031 0.0000
6.9031 2.7760 0.0000
```


Of them, (R) has the lowest stability.